Record 1
The following is a DFT calculation (PBE) of a relaxed ReSn3Au crystal.

- Formation energy: 0.306 eV/atom
- Energy: -5.24 eV/atom
- Excess energy over the best structure of this formula in the dataset: 0.0000 eV/atom
- Density of states at the Fermi level: 0.000 states/eV/f.u.

Cell and atoms, written as POSCAR:
```
ReSn3Au
1.0
5.172 0.000 0.000
0.000 5.172 0.000
0.000 0.000 5.172
Re Sn Au
1 3 1
direct
0.000 0.000 0.000
0.000 0.000 0.500
0.000 0.500 0.000
0.500 0.000 0.000
0.500 0.500 0.500
```

***

Record 2
The following is a DFT calculation (PBE) of a relaxed Sr2ReAu crystal.

- Formation energy: 0.700 eV/atom
- Energy: -4.07 eV/atom
- Excess energy over the best structure of this formula in the dataset: 0.3846 eV/atom
- Density of states at the Fermi level: 2.775 states/eV/f.u.

Cell and atoms, written as POSCAR:
```
Sr2ReAu
1.0
1.795 1.036 9.540
-1.795 1.036 9.540
0.000 -2.072 9.540
Sr Re Au
2 1 1
direct
0.248 0.248 0.248
0.752 0.752 0.752
0.500 0.500 0.500
0.000 0.000 0.000
```

***

Record 3
The following is a DFT calculation (PBE) of a relaxed Sr2ReAu crystal.

- Formation energy: 0.315 eV/atom
- Energy: -4.46 eV/atom
- Excess energy over the best structure of this formula in the dataset: 0.0000 eV/atom
- Density of states at the Fermi level: 4.381 states/eV/f.u.

Cell and atoms, written as POSCAR:
```
Sr2ReAu
1.0
2.247 1.297 7.991
-2.247 1.297 7.991
0.000 -2.594 7.991
Sr Re Au
2 1 1
direct
0.000 0.000 0.000
0.173 0.173 0.173
0.420 0.420 0.420
0.753 0.753 0.753
```